1:
Below is an optimized crystal structure of KInOs, with properties calculated at the PBE-GGA level.

The structure belongs to space group P3m1 (No. 156); the cell edges are 3.0276, 3.0276 and 8.1372 Å and the angles 90.00°, 90.00° and 120.00°. The inequivalent atoms are K at (0.0000, 0.0000, 0.0000), In at (0.6667, 0.3333, 0.6159) and Os at (0.3333, 0.6667, 0.3410).

=====

2:
Below is an optimized crystal structure of KInOs, with properties calculated at the PBE-GGA level.

The structure belongs to space group I4mm (No. 107); the cell edges are 3.625, 3.625 and 12.280 Å and the angles 90.00°, 90.00° and 90.00°. The inequivalent atoms are K at (0.000, 0.000, 0.000), In at (0.000, 0.000, 0.270) and Os at (0.000, 0.000, 0.714).

=====

Winner for stability: 2

=====

1:
Below is an optimized crystal structure of KInOs, with properties calculated at the PBE-GGA level.

The structure belongs to space group Imm2 (No. 44); the cell edges are 2.940, 4.436 and 12.227 Å and the angles 90.00°, 90.00° and 90.00°. The inequivalent atoms are K at (0.000, 0.000, 0.000), In at (0.000, 0.000, 0.268) and Os at (0.000, 0.000, 0.728).

=====

2:
Below is an optimized crystal structure of KInOs, with properties calculated at the PBE-GGA level.

The structure belongs to space group I4mm (No. 107); the cell edges are 2.936, 2.936 and 15.468 Å and the angles 90.00°, 90.00° and 90.00°. The inequivalent atoms are K at (0.000, 0.000, 0.000), In at (0.000, 0.000, 0.303) and Os at (0.000, 0.000, 0.674).

=====

Winner for stability: 1